# 1
DFT (GGA-PBE) results for Pm3Ho5Er4 after structural relaxation.

Values from the calculation:
- Calculated total energy: -55.165 eV/f.u.
- Energy above the most stable polymorph in this dataset: 0.00 eV/f.u.

abc: 6.144 7.097 8.686
angles: 90.01 90.10 90.16
Space group P-1 (No. 2)
Symmetry-distinct sites (fractional):
Pm  0.000  0.000  0.000 x1
Pm  0.166  0.749  0.666 x2
Ho  0.000  0.500  0.000 x1
Ho  0.335  0.000  0.333 x2
Ho  0.499  0.251  0.000 x2
Er  0.168  0.251  0.666 x2
Er  0.334  0.500  0.333 x2



# 2
DFT (GGA-PBE) results for LaY2Ni after structural relaxation.

Values from the calculation:
- Calculated total energy: -23.980 eV/f.u.
- Energy above the most stable polymorph in this dataset: 0.52 eV/f.u.

abc: 3.8649 3.8649 27.7489
angles: 90.00 90.00 120.00
Space group R-3m (No. 166, hexagonal axes)
Symmetry-distinct sites (fractional):
La  0.0000  0.0000  0.0000 x3
Y  0.0000  0.0000  0.2223 x6
Ni  0.0000  0.0000  0.5000 x3



# 3
DFT (GGA-PBE) results for HoMg3Rh after structural relaxation.

Values from the calculation:
- Calculated total energy: -18.618 eV/f.u.

abc: 5.355 5.810 7.343
angles: 90.00 106.35 90.00
Space group P2_1/m (No. 11)
Symmetry-distinct sites (fractional):
Ho  0.110  0.250  0.407 x2
Mg  0.019  0.250  0.891 x2
Mg  0.491  0.502  0.792 x4
Rh  0.330  0.750  0.466 x2



# 4
DFT (GGA-PBE) results for Dy2TmAl6 after structural relaxation.

Values from the calculation:
- Calculated total energy: -38.248 eV/f.u.
- Energy above the most stable polymorph in this dataset: 2.31 eV/f.u.

abc: 3.417 7.876 14.606
angles: 90.00 90.00 90.00
Space group Immm (No. 71)
Symmetry-distinct sites (fractional):
Dy  0.000  0.000  0.151 x4
Tm  0.000  0.500  0.000 x2
Al  0.000  0.170  0.339 x8
Al  0.000  0.328  0.500 x4



# 5
DFT (GGA-PBE) results for Pa2BiO4 after structural relaxation.

Values from the calculation:
- Formation energy from raw total energies: -2797 meV/atom
- Calculated total energy: -62.285 eV/f.u.

abc: 4.099 16.402 4.091
angles: 90.00 90.00 90.00
Space group Cmmm (No. 65)
Symmetry-distinct sites (fractional):
Pa  0.000  0.155  0.000 x4
Bi  0.000  0.500  0.500 x2
O  0.000  0.174  0.500 x4
O  0.000  0.299  0.000 x4



# 6
DFT (GGA-PBE) results for KSnTe4 after structural relaxation.

Values from the calculation:
- Formation energy from raw total energies: -270 meV/atom
- Calculated total energy: -19.289 eV/f.u.

abc: 6.064 9.173 8.969
angles: 90.00 94.12 90.00
Space group P2/c (No. 13)
Symmetry-distinct sites (fractional):
K  0.000  0.244  0.250 x2
Sn  0.500  0.252  0.750 x2
Te  0.192  0.414  0.889 x4
Te  0.294  0.048  0.542 x4



# 7
DFT (GGA-PBE) results for SrHfI2 after structural relaxation.

Values from the calculation:
- Formation energy from raw total energies: -153 meV/atom
- Calculated total energy: -15.347 eV/f.u.
- Energy above the most stable polymorph in this dataset: 0.00 eV/f.u.

abc: 7.662 7.662 7.662
angles: 90.00 90.00 90.00
Space group Fm-3m (No. 225)
Symmetry-distinct sites (fractional):
Sr  0.000  0.000  0.000 x4
Hf  0.000  0.000  0.500 x4
I  0.250  0.250  0.250 x8



# 8
DFT (GGA-PBE) results for Ca2Ag2Rh after structural relaxation.

Values from the calculation:
- Calculated total energy: -16.904 eV/f.u.
- Energy above the most stable polymorph in this dataset: 0.93 eV/f.u.

abc: 5.681 5.681 7.876
angles: 90.00 90.00 90.00
Space group I4/mmm (No. 139)
Symmetry-distinct sites (fractional):
Ca  0.000  0.500  0.250 x4
Ag  0.000  0.000  0.163 x4
Rh  0.000  0.000  0.500 x2